No. 1
A relaxed Tb2InSe crystal, computed with PBE.

Summary:
The value obtained for the formation energy from raw total energies is -0.9488 eV per atom. The calculation puts the energy above the most stable polymorph in this dataset at 0.172 eV per atom. Its space group is P4/mmm (123).

Lattice parameters (Å, degrees): 3.5120 3.5120 8.0866 90.00 90.00 90.00
Last column: nearest neighbours and their distance in Å.
Atoms (fractional coordinates):
Tb1 0.0000 0.0000 0.7721  4 Se 3.09, 4 In 3.32
Tb2 0.0000 0.0000 0.2279  4 Se 3.09, 4 In 3.32
Se1 0.5000 0.5000 0.0000  8 Tb 3.09
In1 0.5000 0.5000 0.5000  8 Tb 3.32, 4 In 3.51

---

No. 2
A relaxed Tb6InTe2Se3 crystal, computed with PBE.

Summary:
The value obtained for the formation energy from raw total energies is -1.3942 eV per atom. Its space group is C2/m (12).

Lattice parameters (Å, degrees): 4.1342 8.6793 9.5212 103.07 102.54 90.00
Last column: nearest neighbours and their distance in Å.
Atoms (fractional coordinates):
Tb1 0.3331 0.9339 0.6661  3 Se 2.89-2.95, 1 In 3.02, 2 Te 3.14
Tb2 0.6581 0.6010 0.3162  3 Se 2.87, 3 Te 3.11-3.13
Tb3 0.6669 0.0661 0.3339  3 Se 2.89-2.95, 1 In 3.02, 2 Te 3.14
Tb4 0.9953 0.2580 0.9907  3 Se 2.93-2.99, 2 In 3.06, 1 Te 3.14
Tb5 0.0047 0.7420 0.0093  3 Se 2.93-2.99, 2 In 3.06, 1 Te 3.14
Tb6 0.3419 0.3990 0.6838  3 Se 2.87, 3 Te 3.11-3.13
In1 0.5000 0.0000 0.0000  6 Tb 3.02-3.06
Te1 0.8309 0.6610 0.6618  6 Tb 3.11-3.14
Te2 0.1691 0.3390 0.3382  6 Tb 3.11-3.14
Se1 0.5000 0.5000 0.0000  6 Tb 2.87-2.93
Se2 0.8301 0.1653 0.6601  6 Tb 2.87-2.99
Se3 0.1699 0.8347 0.3399  6 Tb 2.87-2.99

---

No. 3
A relaxed Tb6InTe3Se2 crystal, computed with PBE.

Summary:
The value obtained for the formation energy from raw total energies is -1.3229 eV per atom. Its space group is C2/m (12).

Lattice parameters (Å, degrees): 4.1921 8.7797 9.6637 104.27 102.53 90.00
Last column: nearest neighbours and their distance in Å.
Atoms (fractional coordinates):
Tb1 0.3353 0.8983 0.6706  2 Se 2.92, 1 In 3.01, 3 Te 3.10-3.18
Tb2 0.6740 0.5672 0.3479  3 Se 2.89-2.90, 3 Te 3.15-3.18
Tb3 0.6647 0.1017 0.3294  2 Se 2.92, 1 In 3.01, 3 Te 3.10-3.18
Tb4 0.0067 0.2491 0.0134  1 Se 2.95, 2 In 3.01, 3 Te 3.07-3.16
Tb5 0.9933 0.7509 0.9866  1 Se 2.95, 2 In 3.01, 3 Te 3.07-3.16
Tb6 0.3260 0.4328 0.6521  3 Se 2.89-2.90, 3 Te 3.15-3.18
In1 0.5000 0.0000 0.0000  6 Tb 3.01
Te1 0.5000 0.5000 0.0000  6 Tb 3.07-3.18
Te2 0.8339 0.1697 0.6679  6 Tb 3.10-3.18
Te3 0.1661 0.8303 0.3321  6 Tb 3.10-3.18
Se1 0.8319 0.6647 0.6639  6 Tb 2.89-2.95
Se2 0.1681 0.3353 0.3361  6 Tb 2.89-2.95

---

No. 4
A relaxed Tb2Tl3InSe6 crystal, computed with PBE.

Summary:
The value obtained for the formation energy from raw total energies is -1.0673 eV per atom. Its space group is C2/m (12).

Lattice parameters (Å, degrees): 7.2215 7.2215 8.1497 98.55 98.55 119.94
Last column: nearest neighbours and their distance in Å.
Atoms (fractional coordinates):
Tb1 0.3339 0.6661 0.0000  6 Se 2.90-2.91
Tb2 0.6661 0.3339 0.0000  6 Se 2.90-2.91
Tl1 0.1706 0.8294 0.5000  6 Se 3.33-3.35
Tl2 0.8294 0.1706 0.5000  6 Se 3.33-3.35
Tl3 0.5000 0.5000 0.5000  6 Se 3.32-3.36
In1 0.0000 0.0000 0.0000  6 Se 2.82-2.86
Se1 0.9327 0.6076 0.7981  1 In 2.82, 2 Tb 2.90
Se2 0.7425 0.7425 0.2069  1 In 2.86, 2 Tb 2.91
Se3 0.0673 0.3924 0.2019  1 In 2.82, 2 Tb 2.90
Se4 0.6076 0.9327 0.7981  1 In 2.82, 2 Tb 2.90
Se5 0.2575 0.2575 0.7931  1 In 2.86, 2 Tb 2.91
Se6 0.3924 0.0673 0.2019  1 In 2.82, 2 Tb 2.90